Run 1
Li2Hf2O5: optimized geometry, PBEsol.

a = 10.2587 Å, b = 3.7882 Å, c = 12.7835 Å
α = 90.00°, β = 126.00°, γ = 90.00°
Space group P2_1/c (No. 14)
Symmetry-distinct sites (fractional):
1 Li 0.0268 0.2424 0.4376 (multiplicity 4)
2 Li 0.0785 0.7145 0.3314 (multiplicity 4)
3 Hf 0.3266 0.6981 0.1340 (multiplicity 4)
4 Hf 0.3308 0.1571 0.3584 (multiplicity 4)
5 O 0.1042 0.7476 0.4966 (multiplicity 4)
6 O 0.1308 0.2150 0.3397 (multiplicity 4)
7 O 0.2809 0.6791 0.2755 (multiplicity 4)
8 O 0.3855 0.1922 0.2080 (multiplicity 4)
9 O 0.4142 0.6777 0.0246 (multiplicity 4)



Run 2
Li2Hf2O5: optimized geometry, PBEsol.

a = 9.0219 Å, b = 6.4243 Å, c = 7.4678 Å
α = 90.00°, β = 114.06°, γ = 90.00°
Space group C2/c (No. 15)
Symmetry-distinct sites (fractional):
1 Li 0.0151 0.1977 0.4605 (multiplicity 8)
2 Hf 0.2482 0.4704 0.1202 (multiplicity 8)
3 O 0.0000 0.0283 0.7500 (multiplicity 4)
4 O 0.0000 0.5000 0.0000 (multiplicity 4)
5 O 0.2223 0.1448 0.1307 (multiplicity 8)
6 O 0.2500 0.2500 0.5000 (multiplicity 4)



Computed stability ranking, most favorable first: run 2, run 1



Run 1
LiHfP2O: optimized geometry, PBEsol.

a = 5.1159 Å, b = 5.1159 Å, c = 3.9373 Å
α = 90.00°, β = 90.00°, γ = 90.00°
Space group P4/mmm (No. 123)
Symmetry-distinct sites (fractional):
1 Li 0.0000 0.0000 0.0000 (multiplicity 1)
2 Hf 0.5000 0.5000 0.5000 (multiplicity 1)
3 P 0.0000 0.5000 0.5000 (multiplicity 2)
4 O 0.5000 0.5000 0.0000 (multiplicity 1)



Run 2
LiHfP2O: optimized geometry, PBEsol.

a = 4.4024 Å, b = 4.4024 Å, c = 3.4524 Å
α = 90.00°, β = 90.00°, γ = 90.00°
Space group P4/mmm (No. 123)
Symmetry-distinct sites (fractional):
1 Li 0.0000 0.0000 0.0000 (multiplicity 1)
2 Hf 0.5000 0.5000 0.5000 (multiplicity 1)
3 P 0.0000 0.5000 0.0000 (multiplicity 2)
4 O 0.0000 0.0000 0.5000 (multiplicity 1)



Computed stability ranking, most favorable first: run 1, run 2



Run 1
RbHfMg3: optimized geometry, PBEsol.

a = 5.2971 Å, b = 5.2971 Å, c = 5.2971 Å
α = 90.00°, β = 90.00°, γ = 90.00°
Space group Pm-3m (No. 221)
Symmetry-distinct sites (fractional):
1 Rb 0.0000 0.0000 0.0000 (multiplicity 1)
2 Hf 0.5000 0.5000 0.5000 (multiplicity 1)
3 Mg 0.0000 0.0000 0.5000 (multiplicity 3)



Run 2
RbHfMg3: optimized geometry, PBEsol.

a = 5.7822 Å, b = 5.7822 Å, c = 5.7822 Å
α = 90.00°, β = 90.00°, γ = 90.00°
Space group Pm-3m (No. 221)
Symmetry-distinct sites (fractional):
1 Rb 0.0000 0.0000 0.0000 (multiplicity 1)
2 Hf 0.5000 0.5000 0.5000 (multiplicity 1)
3 Mg 0.0000 0.5000 0.5000 (multiplicity 3)



Computed stability ranking, most favorable first: run 2, run 1



Run 1
HfMn3P: optimized geometry, PBEsol.

a = 4.6196 Å, b = 4.6196 Å, c = 4.6196 Å
α = 90.00°, β = 90.00°, γ = 90.00°
Space group Pm-3m (No. 221)
Symmetry-distinct sites (fractional):
1 Hf 0.0000 0.0000 0.0000 (multiplicity 1)
2 Mn 0.0000 0.0000 0.5000 (multiplicity 3)
3 P 0.5000 0.5000 0.5000 (multiplicity 1)



Run 2
HfMn3P: optimized geometry, PBEsol.

a = 4.0985 Å, b = 4.0985 Å, c = 4.0985 Å
α = 90.00°, β = 90.00°, γ = 90.00°
Space group Pm-3m (No. 221)
Symmetry-distinct sites (fractional):
1 Hf 0.0000 0.0000 0.0000 (multiplicity 1)
2 Mn 0.0000 0.5000 0.5000 (multiplicity 3)
3 P 0.5000 0.5000 0.5000 (multiplicity 1)



Computed stability ranking, most favorable first: run 2, run 1



Run 1
Hf3N4: optimized geometry, PBEsol.

a = 6.6306 Å, b = 6.6306 Å, c = 6.6306 Å
α = 90.00°, β = 90.00°, γ = 90.00°
Space group I-43d (No. 220)
Symmetry-distinct sites (fractional):
1 Hf 0.0000 0.2500 0.3750 (multiplicity 12)
2 N 0.0700 0.0700 0.0700 (multiplicity 16)



Run 2
Hf3N4: optimized geometry, PBEsol.

a = 8.9833 Å, b = 8.9833 Å, c = 8.9833 Å
α = 90.00°, β = 90.00°, γ = 90.00°
Space group Fd-3m (No. 227, origin choice 2)
Symmetry-distinct sites (fractional):
1 Hf 0.0000 0.0000 0.0000 (multiplicity 16)
2 Hf 0.1250 0.1250 0.6250 (multiplicity 8)
3 N 0.0078 0.0078 0.2422 (multiplicity 32)



Computed stability ranking, most favorable first: run 1, run 2



Run 1
Hf3N4: optimized geometry, PBEsol.

a = 3.3782 Å, b = 3.3782 Å, c = 24.8412 Å
α = 90.00°, β = 90.00°, γ = 120.00°
Space group R-3m (No. 166, hexagonal axes)
Symmetry-distinct sites (fractional):
1 Hf 0.0000 0.0000 0.0000 (multiplicity 3)
2 Hf 0.0000 0.0000 0.2223 (multiplicity 6)
3 N 0.0000 0.0000 0.1324 (multiplicity 6)
4 N 0.0000 0.0000 0.3783 (multiplicity 6)



Run 2
Hf3N4: optimized geometry, PBEsol.

a = 9.6540 Å, b = 3.2162 Å, c = 10.6327 Å
α = 90.00°, β = 90.00°, γ = 90.00°
Space group Pnma (No. 62)
Symmetry-distinct sites (fractional):
1 Hf 0.0693 0.2500 0.1235 (multiplicity 4)
2 Hf 0.1077 0.2500 0.5927 (multiplicity 4)
3 Hf 0.2285 0.2500 0.8519 (multiplicity 4)
4 N 0.0069 0.2500 0.7747 (multiplicity 4)
5 N 0.1029 0.7500 0.4696 (multiplicity 4)
6 N 0.1425 0.7500 0.9819 (multiplicity 4)
7 N 0.2366 0.7500 0.7133 (multiplicity 4)



Computed stability ranking, most favorable first: run 2, run 1



Run 1
Hf5N5O2: optimized geometry, PBEsol.

a = 10.2584 Å, b = 3.0447 Å, c = 9.0635 Å
α = 90.00°, β = 106.16°, γ = 90.00°
Space group Cm (No. 8)
Symmetry-distinct sites (fractional):
1 Hf 0.0000 0.0000 0.0000 (multiplicity 2)
2 Hf 0.0845 0.5000 0.3816 (multiplicity 2)
3 Hf 0.1923 0.0000 0.7855 (multiplicity 2)
4 Hf 0.2785 0.5000 0.1618 (multiplicity 2)
5 Hf 0.4002 0.5000 0.5759 (multiplicity 2)
6 N 0.0526 0.5000 0.6358 (multiplicity 2)
7 N 0.1214 0.5000 0.9305 (multiplicity 2)
8 N 0.1488 0.0000 0.2264 (multiplicity 2)
9 N 0.3768 0.0000 0.0632 (multiplicity 2)
10 N 0.4354 0.5000 0.3652 (multiplicity 2)
11 O 0.2364 0.0000 0.5300 (multiplicity 2)
12 O 0.3433 0.5000 0.7866 (multiplicity 2)



Run 2
Hf5N5O2: optimized geometry, PBEsol.

a = 10.3130 Å, b = 3.0399 Å, c = 9.0157 Å
α = 90.00°, β = 105.66°, γ = 90.00°
Space group C2/m (No. 12)
Symmetry-distinct sites (fractional):
1 Hf 0.0000 0.0000 0.0000 (multiplicity 2)
2 Hf 0.1127 0.0000 0.4228 (multiplicity 4)
3 Hf 0.2027 0.5000 0.8087 (multiplicity 4)
4 N 0.0000 0.5000 0.5000 (multiplicity 2)
5 N 0.1569 0.5000 0.0532 (multiplicity 4)
6 N 0.2370 0.5000 0.3520 (multiplicity 4)
7 O 0.0447 0.0000 0.7869 (multiplicity 4)



Computed stability ranking, most favorable first: run 2, run 1



Run 1
HfOsSeN2: optimized geometry, PBEsol.

a = 3.8113 Å, b = 3.8113 Å, c = 5.1355 Å
α = 90.00°, β = 90.00°, γ = 90.00°
Space group P4/mmm (No. 123)
Symmetry-distinct sites (fractional):
1 Hf 0.0000 0.0000 0.0000 (multiplicity 1)
2 Os 0.5000 0.5000 0.5000 (multiplicity 1)
3 Se 0.5000 0.5000 0.0000 (multiplicity 1)
4 N 0.0000 0.5000 0.5000 (multiplicity 2)



Run 2
HfOsSeN2: optimized geometry, PBEsol.

a = 3.9851 Å, b = 3.9851 Å, c = 5.4152 Å
α = 90.00°, β = 90.00°, γ = 90.00°
Space group P4/mmm (No. 123)
Symmetry-distinct sites (fractional):
1 Hf 0.0000 0.0000 0.0000 (multiplicity 1)
2 Os 0.5000 0.5000 0.5000 (multiplicity 1)
3 Se 0.0000 0.0000 0.5000 (multiplicity 1)
4 N 0.0000 0.5000 0.0000 (multiplicity 2)



Computed stability ranking, most favorable first: run 1, run 2